VASP calculation (PBE-GGA) on crystalline UBeSn at its relaxed geometry.

Unit cell a=4.713 b=3.582 c=7.739 alpha=90.00 beta=90.43 gamma=90.00
Space group Pm (No. 6)
Symmetry-distinct sites (fractional):
U (0.000, 0.000, 0.000) [1 per cell]
U (0.003, 0.500, 0.231) [1 per cell]
Be (0.499, 0.000, 0.439) [1 per cell]
Be (0.503, 0.000, 0.169) [1 per cell]
Sn (0.001, 0.000, 0.591) [1 per cell]
Sn (0.499, 0.500, 0.912) [1 per cell]

The volume comes out at 21.77 Å³ per atom. As for the final energy: -6.009 eV/atom. Its formation energy is 0.3304 eV per atom. Its crystal system is monoclinic.


VASP calculation (PBE-GGA) on crystalline Be3VSn at its relaxed geometry.

Unit cell a=4.298 b=4.298 c=4.298 alpha=90.00 beta=90.00 gamma=90.00
Space group Pm-3m (No. 221)
Symmetry-distinct sites (fractional):
Be (0.000, 0.000, 0.500) [3 per cell]
V (0.000, 0.000, 0.000) [1 per cell]
Sn (0.500, 0.500, 0.500) [1 per cell]

The volume comes out at 15.88 Å³ per atom. As for the final energy: -3.616 eV/atom. Its formation energy is 1.2437 eV per atom. Its crystal system is cubic. The polymorph energy (0 for the lowest one) is 0.000 eV per atom.


VASP calculation (PBE-GGA) on crystalline BeV2Sn at its relaxed geometry.

Unit cell a=6.173 b=6.173 c=6.173 alpha=90.00 beta=90.00 gamma=90.00
Space group Fm-3m (No. 225)
Symmetry-distinct sites (fractional):
Be (0.000, 0.000, 0.000) [4 per cell]
V (0.250, 0.250, 0.250) [8 per cell]
Sn (0.000, 0.000, 0.500) [4 per cell]

The volume comes out at 14.70 Å³ per atom. As for the final energy: -6.148 eV/atom. Its formation energy is 0.3431 eV per atom. Its crystal system is cubic. The polymorph energy (0 for the lowest one) is 0.065 eV per atom.


VASP calculation (PBE-GGA) on crystalline Be2VSn at its relaxed geometry.

Unit cell a=6.654 b=6.654 c=5.229 alpha=90.00 beta=90.00 gamma=90.00
Space group I-42d (No. 122)
Symmetry-distinct sites (fractional):
Be (0.242, 0.250, 0.125) [8 per cell]
V (0.000, 0.000, 0.000) [4 per cell]
Sn (0.000, 0.000, 0.500) [4 per cell]

The volume comes out at 14.47 Å³ per atom. As for the final energy: -4.512 eV/atom. Its formation energy is 0.6313 eV per atom. Its crystal system is tetragonal.


VASP calculation (PBE-GGA) on crystalline BeV2Sn at its relaxed geometry.

Unit cell a=6.852 b=6.852 c=5.126 alpha=90.00 beta=90.00 gamma=90.00
Space group I-42d (No. 122)
Symmetry-distinct sites (fractional):
Be (0.000, 0.000, 0.000) [4 per cell]
V (0.217, 0.750, 0.125) [8 per cell]
Sn (0.000, 0.000, 0.500) [4 per cell]

The volume comes out at 15.04 Å³ per atom. As for the final energy: -6.043 eV/atom. Its formation energy is 0.4485 eV per atom. Its crystal system is tetragonal. The polymorph energy (0 for the lowest one) is 0.171 eV per atom.


VASP calculation (PBE-GGA) on crystalline Be2V2Sn at its relaxed geometry.

Unit cell a=6.174 b=6.174 c=3.359 alpha=90.00 beta=90.00 gamma=90.00
Space group P4/mbm (No. 127)
Symmetry-distinct sites (fractional):
Be (0.115, 0.385, 0.000) [4 per cell]
V (0.170, 0.670, 0.500) [4 per cell]
Sn (0.000, 0.000, 0.000) [2 per cell]

The volume comes out at 12.80 Å³ per atom. As for the final energy: -5.911 eV/atom. Its formation energy is 0.0273 eV per atom. Its crystal system is tetragonal. The polymorph energy (0 for the lowest one) is 0.000 eV per atom.